The following is a PBE-GGA calculation of SrLa2PbC after structural relaxation, from the Alexandria database.

Structure (CIF):
```
data_SrLa2PbC
_symmetry_space_group_name_H-M 'P 1'
_symmetry_Int_Tables_number 1
_cell_length_a 5.2219
_cell_length_b 5.2219
_cell_length_c 5.4011
_cell_angle_alpha 90.00
_cell_angle_beta 90.00
_cell_angle_gamma 90.00
loop_
_symmetry_equiv_pos_as_xyz
'x,y,z'
loop_
_atom_site_label
_atom_site_type_symbol
_atom_site_fract_x
_atom_site_fract_y
_atom_site_fract_z
Sr1 Sr 0.0000 0.0000 0.5000
C1 C 0.0000 0.0000 0.0000
Pb1 Pb 0.5000 0.5000 0.5000
La1 La 0.0000 0.5000 0.0000
La2 La 0.5000 0.0000 0.0000
```

Properties
Formation energy from the elements in eV/f.u.: -1.64
Magnetic moment in μB/atom: 0.00
VASP energy in eV for the cell shown: -26.1
Calculated density in g cm⁻³: 6.59